No. 1
Compound: FeNCl3
Source: Alexandria
Functional: GGA-PBE
Structure: optimized geometry

Unit cell a=7.3077 b=7.3077 c=5.6063 alpha=90.00 beta=90.00 gamma=120.00
With the nearest neighbours (Å) after each atom.
Fractional coordinates of all 10 atoms:
Fe 0.0000 0.0000 0.5000  6 Cl 2.26
Fe 0.0000 0.0000 0.0000  6 Cl 2.26
Cl 0.8598 0.1402 0.7500  2 Fe 2.26
Cl 0.2804 0.1402 0.7500  2 Fe 2.26
Cl 0.8598 0.7196 0.7500  2 Fe 2.26
Cl 0.1402 0.8598 0.2500  2 Fe 2.26
Cl 0.1402 0.2804 0.2500  2 Fe 2.26
Cl 0.7196 0.8598 0.2500  2 Fe 2.26
N 0.3333 0.6667 0.7500  12 Cl 3.67-3.72
N 0.6667 0.3333 0.2500  12 Cl 3.67-3.72

Output
Excess energy over the best structure of this formula in the dataset (meV/atom): 0.0
Uncorrected formation energy (meV per atom): 534
Space-group type: P6_3/mmc (194)


No. 2
Compound: CdNiP2
Source: Alexandria
Functional: GGA-PBE
Structure: optimized geometry

Unit cell a=4.3516 b=4.3516 c=3.5501 alpha=83.84 beta=83.84 gamma=106.15
With the nearest neighbours (Å) after each atom.
Fractional coordinates of all 4 atoms:
P 0.0000 0.0000 0.0000  2 P 2.61, 2 Ni 2.66, 2 Cd 2.66
P 0.5000 0.5000 0.0000  2 P 2.61, 2 Cd 2.66, 2 Ni 2.66
Ni 0.0000 0.5000 0.5000  2 Cd 2.61, 4 P 2.66
Cd 0.5000 0.0000 0.5000  2 Ni 2.61, 4 P 2.66

Output
Space-group type: C2/m (12)
DFT formation energy (eV/f.u.): 1.563


What did the second record say?
Compound: CdNiP2
Source: Alexandria
Functional: GGA-PBE
Structure: optimized geometry

Unit cell a=4.3516 b=4.3516 c=3.5501 alpha=83.84 beta=83.84 gamma=106.15
With the nearest neighbours (Å) after each atom.
Fractional coordinates of all 4 atoms:
P 0.0000 0.0000 0.0000  2 P 2.61, 2 Ni 2.66, 2 Cd 2.66
P 0.5000 0.5000 0.0000  2 P 2.61, 2 Cd 2.66, 2 Ni 2.66
Ni 0.0000 0.5000 0.5000  2 Cd 2.61, 4 P 2.66
Cd 0.5000 0.0000 0.5000  2 Ni 2.61, 4 P 2.66

Output
Space-group type: C2/m (12)
DFT formation energy (eV/f.u.): 1.563


Repeat the first record exactly.
Compound: FeNCl3
Source: Alexandria
Functional: GGA-PBE
Structure: optimized geometry

Unit cell a=7.3077 b=7.3077 c=5.6063 alpha=90.00 beta=90.00 gamma=120.00
With the nearest neighbours (Å) after each atom.
Fractional coordinates of all 10 atoms:
Fe 0.0000 0.0000 0.5000  6 Cl 2.26
Fe 0.0000 0.0000 0.0000  6 Cl 2.26
Cl 0.8598 0.1402 0.7500  2 Fe 2.26
Cl 0.2804 0.1402 0.7500  2 Fe 2.26
Cl 0.8598 0.7196 0.7500  2 Fe 2.26
Cl 0.1402 0.8598 0.2500  2 Fe 2.26
Cl 0.1402 0.2804 0.2500  2 Fe 2.26
Cl 0.7196 0.8598 0.2500  2 Fe 2.26
N 0.3333 0.6667 0.7500  12 Cl 3.67-3.72
N 0.6667 0.3333 0.2500  12 Cl 3.67-3.72

Output
Excess energy over the best structure of this formula in the dataset (meV/atom): 0.0
Uncorrected formation energy (meV per atom): 534
Space-group type: P6_3/mmc (194)